No. 1
This record from Alexandria describes an optimized crystal structure of TaCdCu. The functional is GGA-PBE.

It has space group I4mm (No. 107), with a = 2.9061 Å, b = 2.9061 Å, c = 11.9704 Å, α = 90.00°, β = 90.00° and γ = 90.00°. The asymmetric unit holds Ta at (0.0000, 0.0000, 0.0000), Cd at (0.0000, 0.0000, 0.3077) and Cu at (0.0000, 0.0000, 0.6476).

The value obtained for the density is 11.72 Mg/m³. As for the formation energy: 0.150 eV per atom. As for the distance to the lowest polymorph of the same formula: 0.0749 eV per atom.



No. 2
This record from Alexandria describes an optimized crystal structure of TaCdCu. The functional is GGA-PBE.

It has space group F-43m (No. 216), with a = 6.2756 Å, b = 6.2756 Å, c = 6.2756 Å, α = 90.00°, β = 90.00° and γ = 90.00°. The asymmetric unit holds Ta at (0.0000, 0.0000, 0.0000), Cd at (0.2500, 0.2500, 0.7500) and Cu at (0.2500, 0.2500, 0.2500).

The value obtained for the density is 9.59 Mg/m³. As for the formation energy: 1.046 eV per atom. As for the distance to the lowest polymorph of the same formula: 0.9706 eV per atom.